No. 1
# Nd2DyYBi5 (PBE-GGA, optimized geometry)
# Formation energy from the elements, eV per atom: -0.13
data_Nd2DyYBi5
_chemical_formula_sum 'Nd2 Dy1 Y1 Bi5'
_symmetry_space_group_name_H-M 'P 4/m m m'
_symmetry_Int_Tables_number 123
_symmetry_space_group_name_Hall '-P 4 2'
_cell_length_a 5.4373
_cell_length_b 5.4373
_cell_length_c 11.9242
_cell_angle_alpha 90.00
_cell_angle_beta 90.00
_cell_angle_gamma 90.00
loop_
_atom_site_label
_atom_site_type_symbol
_atom_site_fract_x
_atom_site_fract_y
_atom_site_fract_z
Nd1 Nd 0.0000 0.0000 0.2253
Dy1 Dy 0.5000 0.5000 0.0000
Y1 Y 0.5000 0.5000 0.5000
Bi1 Bi 0.0000 0.0000 0.5000
Bi2 Bi 0.0000 0.5000 0.0000
Bi3 Bi 0.5000 0.5000 0.2541



No. 2
# SrMgTlPb (PBE-GGA, optimized geometry)
# Formation energy from the elements, eV per atom: -0.28
data_SrMgTlPb
_chemical_formula_sum 'Sr4 Mg4 Tl4 Pb4'
_symmetry_space_group_name_H-M 'F -4 3 m'
_symmetry_Int_Tables_number 216
_symmetry_space_group_name_Hall 'F -4 2 3'
_cell_length_a 7.8255
_cell_length_b 7.8255
_cell_length_c 7.8255
_cell_angle_alpha 90.00
_cell_angle_beta 90.00
_cell_angle_gamma 90.00
loop_
_atom_site_label
_atom_site_type_symbol
_atom_site_fract_x
_atom_site_fract_y
_atom_site_fract_z
Sr1 Sr 0.0000 0.0000 0.0000
Mg1 Mg 0.0000 0.0000 0.5000
Tl1 Tl 0.2500 0.2500 0.7500
Pb1 Pb 0.2500 0.2500 0.2500



No. 3
# Ba8Au2N (PBE-GGA, optimized geometry)
# Formation energy without anion corrections, eV per atom: -0.20
data_Ba8Au2N
_chemical_formula_sum 'Ba16 Au4 N2'
_symmetry_space_group_name_H-M 'C 1 2/m 1'
_symmetry_Int_Tables_number 12
_cell_length_a 18.5348
_cell_length_b 8.7988
_cell_length_c 6.8753
_cell_angle_alpha 90.00
_cell_angle_beta 92.69
_cell_angle_gamma 90.00
loop_
_symmetry_equiv_pos_as_xyz
'x,y,z'
'-x,-y,-z'
'-x,y,-z'
'x,-y,z'
'x+1/2,y+1/2,z'
'-x+1/2,-y+1/2,-z'
'-x+1/2,y+1/2,-z'
'x+1/2,-y+1/2,z'
loop_
_atom_site_label
_atom_site_type_symbol
_atom_site_fract_x
_atom_site_fract_y
_atom_site_fract_z
Ba1 Ba 0.0616 0.2098 0.2173
Ba2 Ba 0.1279 0.5000 0.7133
Ba3 Ba 0.1936 0.0000 0.7723
Au1 Au 0.2044 0.0000 0.2734
N1 N 0.0000 0.0000 0.0000